1.
## Pm4TmCd (PBE)

Data for a geometry-optimized Pm4TmCd structure.

Results
ΔE to the lowest computed polymorph (eV per atom): 0.000
Energy of formation (meV per atom): -93
Magnetic moment (μB per cell): 0.00
DFT total energy (eV/cell): -24.95

a b c (Å): 3.6500 3.6500 14.2208
angles (deg): 90.00 90.00 90.00
Atoms (fractional coordinates):
Pm 0.5000 0.5000 0.8264
Pm 0.0000 0.0000 0.3520
Pm 0.0000 0.0000 0.6480
Pm 0.5000 0.5000 0.1736
Tm 0.0000 0.0000 0.0000
Cd 0.5000 0.5000 0.5000



2.
## Y5CdRh2 (PBE)

Data for a geometry-optimized Y5CdRh2 structure.

Results
Energy of formation (meV per atom): -574
Magnetic moment (μB per cell): 0.00
DFT total energy (eV/cell): -105.06

a b c (Å): 7.7751 7.7751 8.7362
angles (deg): 116.42 116.42 90.00
Atoms (fractional coordinates):
Y 0.7040 0.2040 0.7283
Y 0.0000 0.0000 0.0000
Y 0.7960 0.9757 0.2717
Y 0.2960 0.7960 0.2717
Y 0.2040 0.0243 0.7283
Y 0.4757 0.2960 0.2717
Y 0.5243 0.7040 0.7283
Y 0.9757 0.4757 0.2717
Y 0.5000 0.5000 0.0000
Y 0.0243 0.5243 0.7283
Rh 0.6395 0.1395 0.0000
Rh 0.3605 0.8605 0.0000
Rh 0.8605 0.6395 0.0000
Rh 0.1395 0.3605 0.0000
Cd 0.7500 0.7500 0.5000
Cd 0.2500 0.2500 0.5000



3.
## Tb5Bi2Sb2 (PBE)

Data for a geometry-optimized Tb5Bi2Sb2 structure.

Results
ΔE to the lowest computed polymorph (eV per atom): 0.223
E_form (uncorrected) (eV per atom): -0.688
Magnetic moment (μB per cell): 0.44
DFT total energy (eV/cell): -45.35

a b c (Å): 5.3079 8.3734 9.3516
angles (deg): 125.51 90.00 108.48
Site moments in Bohr magnetons follow the coordinates.
Atoms (fractional coordinates):
Sb 0.6178 0.2355 0.2717  0.00
Sb 0.3822 0.7645 0.7283  0.00
Tb 0.1353 0.2706 0.4718  0.03
Tb 0.0000 0.0000 0.0000  0.18
Tb 0.8647 0.7294 0.5282  0.03
Tb 0.6347 0.2694 0.9586  0.04
Tb 0.3653 0.7306 0.0414  0.04
Bi 0.1158 0.2316 0.7831  0.00
Bi 0.8842 0.7684 0.2169  0.00



4.
## SiAgP2 (PBE)

Data for a geometry-optimized SiAgP2 structure.

Results
E_form (uncorrected) (eV per atom): 0.671
Magnetic moment (μB per cell): 0.00
DFT total energy (eV/cell): -16.41

a b c (Å): 4.5123 4.5123 4.5123
angles (deg): 60.00 60.00 60.00
Atoms (fractional coordinates):
Ag 0.5000 0.5000 0.5000
Si 0.7500 0.7500 0.7500
P 0.2500 0.2500 0.2500
P 0.0000 0.0000 0.0000